Record 1
A relaxed structure of SrLa2Hg2. Source: the Alexandria database, functional PBEsol.

POSCAR file:
```
SrLa2Hg2
1.0
3.896 0.000 0.000
0.000 8.966 0.000
0.000 0.000 8.966
La Sr Hg
4 2 4
Cartesian
1.948 3.027 1.456 La
1.948 1.456 5.939 La
1.948 7.511 3.027 La
1.948 5.939 7.511 La
0.000 0.000 0.000 Sr
0.000 4.483 4.483 Sr
0.000 3.305 7.788 Hg
0.000 1.178 3.305 Hg
0.000 7.788 5.661 Hg
0.000 5.661 1.178 Hg
```

Results
ρ = 8.1 g cm⁻³
Fermi-level density of states = 10.13 states/eV/cell
Raw total energy = -3.154 eV/atom
E_form = -0.4206 eV per atom

***

Record 2
A relaxed structure of InHg5. Source: the Alexandria database, functional PBEsol.

POSCAR file:
```
InHg5
1.0
4.235 0.000 0.000
0.000 4.875 0.000
0.000 2.438 6.881
Hg In
5 1
Cartesian
2.117 2.438 2.322 Hg
2.117 4.875 4.558 Hg
0.000 2.438 4.577 Hg
2.117 0.000 0.000 Hg
0.000 4.875 2.304 Hg
0.000 2.438 0.000 In
```

Results
ρ = 13.1 g cm⁻³
Fermi-level density of states = 1.63 states/eV/cell
Raw total energy = -0.982 eV/atom
E_form = -0.0122 eV per atom